No. 1
An optimized crystal structure of Ac3OsF. Source: Alexandria via LeMat-Bulk, functional PBE.

```
Ac3OsF
1.0
3.7265 -6.5093 0.0000
3.7265 6.5093 0.0000
-2.4835 0.0000 6.9310
Ac Os F
6 2 2
Direct
0.0819 0.4238 0.7651
0.2436 0.2436 0.2382
0.4238 0.0819 0.7651
0.5762 0.9181 0.2349
0.7564 0.7564 0.7618
0.9181 0.5762 0.2349
0.1663 0.8337 0.0000
0.8337 0.1663 0.0000
0.3680 0.3680 0.6186
0.6320 0.6320 0.3814
```

Values from the calculation:
Formation energy without anion corrections ... -1.12 eV/atom
DOS(E_F) ... 0.53 states/eV/atom

=====

No. 2
An optimized crystal structure of NaMn2NiSe4. Source: Alexandria via LeMat-Bulk, functional PBE.

```
NaMn2NiSe4
1.0
1.8112 -6.7684 0.0000
1.8112 6.7684 0.0000
0.0000 0.0000 13.9892
Na Mn Ni Se
2 4 2 8
Direct
0.1603 0.8397 0.7500
0.8397 0.1603 0.2500
0.3969 0.6031 0.5896
0.3969 0.6031 0.9104
0.6031 0.3969 0.0896
0.6031 0.3969 0.4104
0.1283 0.8717 0.2500
0.8717 0.1283 0.7500
0.0000 0.0000 0.0000
0.0000 0.0000 0.5000
0.2280 0.7720 0.1126
0.2280 0.7720 0.3874
0.4838 0.5162 0.7500
0.5162 0.4838 0.2500
0.7720 0.2280 0.6126
0.7720 0.2280 0.8874
```

Values from the calculation:
Formation energy without anion corrections ... -0.49 eV/atom
DOS(E_F) ... 0.52 states/eV/atom

=====

No. 3
An optimized crystal structure of BaMo2Se. Source: Alexandria via LeMat-Bulk, functional PBE.

```
BaMo2Se
1.0
-1.5100 2.6695 5.3628
1.5100 -2.6695 5.3628
1.5100 2.6695 -5.3628
Ba Mo Se
1 2 1
Direct
0.0000 0.0000 0.0000
0.2951 0.7951 0.5000
0.7049 0.2049 0.5000
0.5000 0.5000 0.0000
```

Values from the calculation:
Formation energy without anion corrections ... 0.67 eV/atom
DOS(E_F) ... 0.83 states/eV/atom

=====

No. 4
An optimized crystal structure of Tl2H4Pt3. Source: Alexandria via LeMat-Bulk, functional PBE.

```
Tl2H4Pt3
1.0
0.0000 4.9189 4.9565
2.6877 0.0000 4.9565
2.6877 4.9189 0.0000
Tl H Pt
2 4 3
Direct
0.1642 0.1642 0.8358
0.8358 0.8358 0.1642
0.1662 0.6041 0.3959
0.3959 0.8338 0.1662
0.6041 0.1662 0.8338
0.8338 0.3959 0.6041
0.0000 0.0000 0.5000
0.5000 0.5000 0.0000
0.5000 0.5000 0.5000
```

Values from the calculation:
DOS(E_F) ... 0.18 states/eV/atom
E_tot ... -36.023 eV/cell

=====

No. 5
An optimized crystal structure of CsRb3Ge. Source: Alexandria via LeMat-Bulk, functional PBE.

```
CsRb3Ge
1.0
8.2623 0.0000 0.0000
0.0000 8.2623 0.0000
0.0000 0.0000 8.2623
Cs Rb Ge
1 3 1
Direct
0.0000 0.0000 0.0000
0.0000 0.0000 0.5000
0.0000 0.5000 0.0000
0.5000 0.0000 0.0000
0.5000 0.5000 0.5000
```

Values from the calculation:
Energy relative to the elements ... 0.79 eV per atom
Energy relative to the lowest polymorph listed for this composition ... 0.6288 eV per atom
DOS(E_F) ... 0.54 states/eV/atom

=====

No. 6
An optimized crystal structure of LiHoLuCu. Source: Alexandria via LeMat-Bulk, functional PBE.

```
LiHoLuCu
1.0
0.0000 3.5017 3.5017
3.5017 0.0000 3.5017
3.5017 3.5017 0.0000
Li Ho Lu Cu
1 1 1 1
Direct
0.0000 0.0000 0.0000
0.2500 0.2500 0.2500
0.7500 0.7500 0.7500
0.5000 0.5000 0.5000
```

Values from the calculation:
Energy relative to the elements ... -0.05 eV per atom
DOS(E_F) ... 0.87 states/eV/atom

=====

What is the formula in the first record?
Ac3OsF

=====

Copy entry 5 word for word.
An optimized crystal structure of CsRb3Ge. Source: Alexandria via LeMat-Bulk, functional PBE.

```
CsRb3Ge
1.0
8.2623 0.0000 0.0000
0.0000 8.2623 0.0000
0.0000 0.0000 8.2623
Cs Rb Ge
1 3 1
Direct
0.0000 0.0000 0.0000
0.0000 0.0000 0.5000
0.0000 0.5000 0.0000
0.5000 0.0000 0.0000
0.5000 0.5000 0.5000
```

Values from the calculation:
Energy relative to the elements ... 0.79 eV per atom
Energy relative to the lowest polymorph listed for this composition ... 0.6288 eV per atom
DOS(E_F) ... 0.54 states/eV/atom

=====

Among the records above, which one has the highest DOS(E_F)?
LiHoLuCu

=====

Number 3 is which compound?
BaMo2Se